[1]
## Zr4Fe3Rh (PBE)

Data for an optimized crystal structure of Zr4Fe3Rh.

a b c (Å): 3.230 4.551 9.029
angles (deg): 90.00 90.00 90.00
Element x y z (fractional)
Zr1 0.000 0.000 0.000
Zr2 0.000 0.000 0.500
Zr3 0.000 0.500 0.241
Zr4 0.000 0.500 0.759
Fe1 0.500 0.000 0.251
Fe2 0.500 0.000 0.749
Fe3 0.500 0.500 0.000
Rh1 0.500 0.500 0.500

Summary:
- formation energy (eV per atom) = -0.326

[2]
## Mg8Zn2Ni (PBE)

Data for an optimized crystal structure of Mg8Zn2Ni.

a b c (Å): 8.060 8.060 6.519
angles (deg): 111.63 111.63 33.34
Element x y z (fractional)
Mg1 0.019 0.019 0.287
Mg2 0.189 0.189 0.758
Mg3 0.344 0.344 0.571
Mg4 0.400 0.400 0.074
Mg5 0.600 0.600 0.926
Mg6 0.656 0.656 0.429
Mg7 0.811 0.811 0.242
Mg8 0.981 0.981 0.713
Zn1 0.180 0.180 0.181
Zn2 0.820 0.820 0.819
Ni1 0.500 0.500 0.500

Summary:
- formation energy (eV per atom) = -0.061

[3]
## TlAsAu2 (PBE)

Data for an optimized crystal structure of TlAsAu2.

a b c (Å): 7.523 7.711 7.270
angles (deg): 90.00 99.09 90.00
Element x y z (fractional)
Tl1 0.189 0.184 0.327
Tl2 0.189 0.316 0.827
Tl3 0.811 0.684 0.173
Tl4 0.811 0.816 0.673
As1 0.311 0.680 0.281
As2 0.311 0.820 0.781
As3 0.689 0.180 0.219
As4 0.689 0.320 0.719
Au1 0.127 0.626 0.543
Au2 0.127 0.874 0.043
Au3 0.460 0.083 0.676
Au4 0.460 0.417 0.176
Au5 0.540 0.583 0.824
Au6 0.540 0.917 0.324
Au7 0.873 0.126 0.957
Au8 0.873 0.374 0.457

Summary:
- formation energy (eV per atom) = -0.001

[4]
## Mg2HgPd (PBE)

Data for an optimized crystal structure of Mg2HgPd.

a b c (Å): 8.961 8.961 8.961
angles (deg): 20.70 20.70 20.70
Element x y z (fractional)
Mg1 0.000 0.000 0.000
Mg2 0.185 0.185 0.185
Hg1 0.759 0.759 0.759
Pd1 0.593 0.593 0.593

Summary:
- formation energy (eV per atom) = -0.325

[5]
## ScTa2Cl (PBE)

Data for an optimized crystal structure of ScTa2Cl.

a b c (Å): 2.944 2.944 9.360
angles (deg): 90.00 90.00 111.25
Element x y z (fractional)
Sc1 0.000 0.000 0.000
Ta1 0.500 0.500 0.267
Ta2 0.500 0.500 0.733
Cl1 0.000 0.000 0.500

Summary:
- energy above the most stable polymorph in this dataset (kJ per mole of atoms) = 44.1
- formation energy from raw total energies (eV per formula unit) = 1.04

[6]
## Pm2Ag3Hg4 (PBE)

Data for an optimized crystal structure of Pm2Ag3Hg4.

a b c (Å): 8.574 8.574 8.618
angles (deg): 90.00 90.00 137.48
Element x y z (fractional)
Pm1 0.121 0.879 0.928
Pm2 0.379 0.621 0.428
Pm3 0.621 0.379 0.572
Pm4 0.879 0.121 0.072
Ag1 0.000 0.000 0.500
Ag2 0.029 0.471 0.750
Ag3 0.471 0.029 0.250
Ag4 0.500 0.500 0.000
Ag5 0.529 0.971 0.750
Ag6 0.971 0.529 0.250
Hg1 0.179 0.821 0.535
Hg2 0.209 0.291 0.750
Hg3 0.291 0.209 0.250
Hg4 0.321 0.679 0.035
Hg5 0.679 0.321 0.965
Hg6 0.709 0.791 0.750
Hg7 0.791 0.709 0.250
Hg8 0.821 0.179 0.465

Summary:
- formation energy (eV per atom) = -0.231
- energy above the most stable polymorph in this dataset (kJ per mole of atoms) = 5.3

[7]
## CuHg3H (PBE)

Data for an optimized crystal structure of CuHg3H.

a b c (Å): 4.516 4.516 4.516
angles (deg): 90.00 90.00 90.00
Element x y z (fractional)
Cu1 0.000 0.000 0.000
Hg1 0.000 0.500 0.500
Hg2 0.500 0.000 0.500
Hg3 0.500 0.500 0.000
H1 0.500 0.500 0.500

Summary:
- E (eV per atom) = -1.10

[8]
## CeGdPuAu (PBE)

Data for an optimized crystal structure of CeGdPuAu.

a b c (Å): 5.175 5.175 5.175
angles (deg): 60.00 60.00 60.00
Element x y z (fractional)
Ce1 0.000 0.000 0.000
Gd1 0.250 0.250 0.250
Pu1 0.750 0.750 0.750
Au1 0.500 0.500 0.500

Summary:
- formation energy (eV per atom) = -0.203

[9]
## SrGa2Pd8 (PBE)

Data for an optimized crystal structure of SrGa2Pd8.

a b c (Å): 5.405 5.405 8.341
angles (deg): 90.00 90.00 90.00
Element x y z (fractional)
Sr1 0.000 0.000 0.000
Ga1 0.000 0.500 0.500
Ga2 0.500 0.000 0.500
Pd1 0.252 0.252 0.298
Pd2 0.252 0.252 0.702
Pd3 0.252 0.748 0.298
Pd4 0.252 0.748 0.702
Pd5 0.748 0.252 0.298
Pd6 0.748 0.252 0.702
Pd7 0.748 0.748 0.298
Pd8 0.748 0.748 0.702

Summary:
- formation energy (eV per atom) = -0.127

[10]
## CaTb3S (PBE)

Data for an optimized crystal structure of CaTb3S.

a b c (Å): 5.379 5.379 5.379
angles (deg): 90.00 90.00 90.00
Element x y z (fractional)
Ca1 0.000 0.000 0.000
Tb1 0.000 0.500 0.500
Tb2 0.500 0.000 0.500
Tb3 0.500 0.500 0.000
S1 0.500 0.500 0.500

Summary:
- formation energy from raw total energies (eV per formula unit) = -3.28

[11]
## Li5MgGa (PBE)

Data for an optimized crystal structure of Li5MgGa.

a b c (Å): 3.864 3.864 9.080
angles (deg): 90.00 90.00 90.00
Element x y z (fractional)
Li1 0.000 0.000 0.000
Li2 0.000 0.500 0.233
Li3 0.000 0.500 0.767
Li4 0.500 0.000 0.233
Li5 0.500 0.000 0.767
Mg1 0.000 0.000 0.500
Ga1 0.500 0.500 0.000

Summary:
- formation energy (eV per atom) = -0.049
- energy above the most stable polymorph in this dataset (kJ per mole of atoms) = 3.5

[12]
## SiGe2Ir (PBE)

Data for an optimized crystal structure of SiGe2Ir.

a b c (Å): 6.740 6.740 6.740
angles (deg): 130.15 130.15 73.17
Element x y z (fractional)
Si1 0.000 0.000 0.000
Si2 0.750 0.250 0.500
Ge1 0.130 0.625 0.005
Ge2 0.375 0.380 0.505
Ge3 0.620 0.125 0.995
Ge4 0.875 0.870 0.495
Ir1 0.250 0.750 0.500
Ir2 0.500 0.500 0.000

Summary:
- formation energy from raw total energies (eV per formula unit) = 0.87

| no. | D(E_F) (states/eV/cell) |
| --- | --- |
| 1 | 4.63 |
| 2 | 3.14 |
| 3 | 4.45 |
| 4 | 1.65 |
| 5 | 3.58 |
| 6 | 9.27 |
| 7 | 1.78 |
| 8 | 7.84 |
| 9 | 6.60 |
| 10 | 6.80 |
| 11 | 2.10 |
| 12 | 4.74 |